DFT (PBE) results for a geometry-optimized Tb6Tc2Hg structure.

Values from the calculation:
Calculated total energy in eV per atom: -5.584
Formation enthalpy at 0 K in eV per atom: -0.16
SG: Immm
Calculated volume in Å³/cell: 474.18
Magnetization in μB per atom: 0.001

Cell lengths 8.5181, 8.5181, 8.5181 Å; angles 111.56, 111.30, 105.63 degrees
Last column: nearest neighbours and their distance in Å.
Positions (direct):
Tb (0.3168, 0.0247, 0.7079)  3 Tc 2.87-3.00
Tb (0.1890, 0.2837, 0.4727)  3 Tc 3.00-3.24, 1 Hg 3.27
Tc (0.8837, 0.3837, 0.5000)  1 Tc 2.39
Tb (0.3168, 0.6090, 0.2921)  3 Tc 2.87-3.00
Tb (0.5568, 0.7678, 0.7890)  2 Tc 2.85-3.19, 1 Hg 3.14
Tc (0.6276, 0.0000, 0.6276)  1 Tc 2.45
Tb (0.0213, 0.2322, 0.7890)  2 Tc 2.85-3.19, 1 Hg 3.14
Tb (0.8110, 0.2837, 0.0947)  3 Tc 3.00-3.24, 1 Hg 3.27
Hg (0.5000, 0.5000, 0.0000)  12 Tb 3.38-3.64
Tb (0.4432, 0.2322, 0.2110)  2 Tc 2.85-3.19, 1 Hg 3.14
Hg (0.0000, 0.0000, 0.0000)  8 Tb 3.14-3.27
Tc (0.1163, 0.6163, 0.5000)  1 Tc 2.39
Tb (0.6832, 0.9753, 0.2921)  3 Tc 2.87-3.00
Tb (0.8110, 0.7163, 0.5273)  3 Tc 3.00-3.24, 1 Hg 3.27
Tb (0.6832, 0.3910, 0.7079)  3 Tc 2.87-3.00
Tb (0.1890, 0.7163, 0.9053)  3 Tc 3.00-3.24, 1 Hg 3.27
Tc (0.3724, 0.0000, 0.3724)  1 Tc 2.45
Tb (0.9787, 0.7678, 0.2110)  2 Tc 2.85-3.19, 1 Hg 3.14

***

DFT (PBE) results for a geometry-optimized Gd2HoTl3AgIr2 structure.

Values from the calculation:
Calculated total energy in eV per atom: -5.046
SG: Amm2
Calculated volume in Å³/cell: 203.86
Magnetization in μB per atom: 0.002

Cell lengths 3.8187, 7.8415, 7.8415 Å; angles 119.75, 90.00, 90.00 degrees
Last column: nearest neighbours and their distance in Å.
Positions (direct):
Tl (0.5000, 0.0007, 0.2704)  2 Ag 2.85, 2 Ir 2.89-2.91, 2 Gd 3.13
Tl (0.5000, 0.2704, 0.0007)  2 Ag 2.85, 2 Ir 2.89-2.91, 2 Gd 3.13
Gd (0.0000, 0.0002, 0.5870)  4 Ir 3.05-3.06, 2 Tl 3.13, 1 Ag 3.24
Ir (0.5000, 0.6645, 0.3337)  3 Tl 2.88-2.91, 2 Ho 3.02, 4 Gd 3.05-3.06
Gd (0.0000, 0.5870, 0.0002)  4 Ir 3.05-3.06, 2 Tl 3.13, 1 Ag 3.24
Ho (0.0000, 0.4137, 0.4137)  4 Ir 3.02, 2 Tl 3.13, 1 Ag 3.25
Tl (0.5000, 0.7292, 0.7292)  2 Ag 2.86, 2 Ir 2.88, 2 Ho 3.13
Ir (0.5000, 0.3337, 0.6645)  3 Tl 2.88-2.91, 2 Ho 3.02, 4 Gd 3.05-3.06
Ag (0.0000, 0.0006, 0.0006)  6 Tl 2.85-2.86

***

DFT (PBE) results for a geometry-optimized Er3HfSn2C2 structure.

Values from the calculation:
Calculated total energy in eV per atom: -6.889
SG: P3m1
Calculated volume in Å³/cell: 164.03
Magnetization in μB per atom: 0.001

Cell lengths 3.5051, 3.5051, 15.4175 Å; angles 90.00, 90.00, 120.00 degrees
Last column: nearest neighbours and their distance in Å.
Positions (direct):
Sn (0.3333, 0.6667, 0.7530)  6 Er 3.27-3.30, 6 Sn 3.51
C (0.0000, 0.0000, 0.4968)  6 Er 2.42-2.43
Er (0.6667, 0.3333, 0.5836)  3 C 2.43
Hf (0.3333, 0.6667, 0.0840)  3 C 2.30
C (0.0000, 0.0000, 0.0125)  3 Hf 2.30, 3 Er 2.48
Er (0.6667, 0.3333, 0.9193)  3 C 2.48
Er (0.3333, 0.6667, 0.4108)  3 C 2.42
Sn (0.6667, 0.3333, 0.2401)  3 Hf 3.14, 3 Er 3.32, 6 Sn 3.51

***

DFT (PBE) results for a geometry-optimized ErNpGe structure.

Values from the calculation:
Calculated total energy in eV per atom: -7.331
Energy relative to the lowest polymorph listed for this composition in kcal/mol of atoms: 0.00
SG: F-43m
Calculated volume in Å³/cell: 81.56
Magnetization in μB per atom: 1.814

Cell lengths 4.8677, 4.8677, 4.8677 Å; angles 60.00, 60.00, 60.00 degrees
Last column: nearest neighbours and their distance in Å.
Positions (direct):
Ge (0.0000, 0.0000, 0.0000)  4 Er 2.98, 4 Np 2.98
Er (0.2500, 0.2500, 0.2500)  4 Ge 2.98
Np (0.7500, 0.7500, 0.7500)  4 Ge 2.98

***

DFT (PBE) results for a geometry-optimized LuNbPb structure.

Values from the calculation:
Calculated total energy in eV per atom: -5.254
Energy relative to the lowest polymorph listed for this composition in kcal/mol of atoms: 5.58
SG: F-43m
Calculated volume in Å³/cell: 87.03
Magnetization in μB per atom: 1.200

Cell lengths 4.9743, 4.9743, 4.9743 Å; angles 60.00, 60.00, 60.00 degrees
Last column: nearest neighbours and their distance in Å.
Positions (direct):
Pb (0.7500, 0.7500, 0.7500)  4 Lu 3.05
Nb (0.2500, 0.2500, 0.2500)  4 Lu 3.05
Lu (0.0000, 0.0000, 0.0000)  4 Nb 3.05, 4 Pb 3.05

***

DFT (PBE) results for a geometry-optimized Dy2YMg3Ir2Pt structure.

Values from the calculation:
Calculated total energy in eV per atom: -5.682
SG: Amm2
Calculated volume in Å³/cell: 187.50
Magnetization in μB per atom: 0.000

Cell lengths 4.0409, 7.3206, 7.3206 Å; angles 120.02, 90.00, 90.00 degrees
Last column: nearest neighbours and their distance in Å.
Positions (direct):
Mg (0.5000, 0.2472, 0.2472)  2 Pt 2.71, 2 Ir 2.81
Pt (0.0000, 0.0002, 0.0002)  6 Mg 2.71, 2 Dy 3.03, 1 Y 3.03
Ir (0.5000, 0.3330, 0.6667)  3 Mg 2.81, 4 Dy 2.99, 2 Y 2.99
Mg (0.5000, 0.7528, 0.0000)  2 Pt 2.71, 2 Ir 2.81
Ir (0.5000, 0.6667, 0.3330)  3 Mg 2.81, 4 Dy 2.99, 2 Y 2.99
Dy (0.0000, 0.0000, 0.4134)  4 Ir 2.99, 1 Pt 3.03, 6 Mg 3.20-3.32
Y (0.0000, 0.5866, 0.5866)  4 Ir 2.99, 1 Pt 3.03, 6 Mg 3.20-3.32
Dy (0.0000, 0.4134, 0.0000)  4 Ir 2.99, 1 Pt 3.03, 6 Mg 3.20-3.32
Mg (0.5000, 0.0000, 0.7528)  2 Pt 2.71, 2 Ir 2.81

***

DFT (PBE) results for a geometry-optimized KNbAgAu structure.

Values from the calculation:
Calculated total energy in eV per atom: -3.594
Energy relative to the lowest polymorph listed for this composition in kcal/mol of atoms: 0.00
SG: F-43m
Calculated volume in Å³/cell: 90.72
Magnetization in μB per atom: 0.682

Cell lengths 5.0435, 5.0435, 5.0435 Å; angles 60.00, 60.00, 60.00 degrees
Last column: nearest neighbours and their distance in Å.
Positions (direct):
Au (0.7500, 0.7500, 0.7500)  4 K 3.09, 4 Nb 3.09
Nb (0.5000, 0.5000, 0.5000)  4 Ag 3.09, 4 Au 3.09
Ag (0.2500, 0.2500, 0.2500)  4 Nb 3.09, 4 K 3.09
K (0.0000, 0.0000, 0.0000)  4 Au 3.09, 4 Ag 3.09

***

DFT (PBE) results for a geometry-optimized Y4Ta2Si3C3 structure.

Values from the calculation:
Calculated total energy in eV per atom: -8.388
SG: C2/c
Calculated volume in Å³/cell: 421.21
Magnetization in μB per atom: 0.000

Cell lengths 5.9558, 5.9558, 14.1275 Å; angles 102.73, 102.73, 60.37 degrees
Last column: nearest neighbours and their distance in Å.
Positions (direct):
C (0.0000, 0.5000, 0.0000)  2 Ta 2.19
Si (0.6557, 0.5845, 0.2477)  2 Si 2.48-2.49, 1 Ta 2.76
C (0.8005, 0.3500, 0.5003)  2 Ta 2.15-2.16
Si (0.4155, 0.3443, 0.2523)  2 Si 2.48-2.49, 1 Ta 2.76
Si (0.3443, 0.4155, 0.7523)  2 Si 2.48-2.49, 1 Ta 2.76
C (0.1995, 0.6500, 0.4997)  2 Ta 2.15-2.16
Si (0.1770, 0.8230, 0.2500)  2 Si 2.48, 2 Ta 2.75
Ta (0.5262, 0.3494, 0.5766)  3 C 2.15-2.19
Y (0.0454, 0.1938, 0.1053)  3 C 2.48-2.54
C (0.6500, 0.1995, 0.9997)  2 Ta 2.15-2.16
Y (0.1195, 0.2974, 0.3946)  3 C 2.48-2.53
Y (0.8062, 0.9546, 0.3947)  3 C 2.48-2.54
Si (0.5845, 0.6557, 0.7477)  2 Si 2.48-2.49, 1 Ta 2.76
Ta (0.4738, 0.6506, 0.4234)  3 C 2.15-2.19
Si (0.8230, 0.1770, 0.7500)  2 Si 2.48, 2 Ta 2.75
Y (0.8805, 0.7026, 0.6054)  3 C 2.48-2.53
Y (0.7026, 0.8805, 0.1054)  3 C 2.48-2.53
Ta (0.6506, 0.4738, 0.9234)  3 C 2.15-2.19
Ta (0.3494, 0.5262, 0.0766)  3 C 2.15-2.19
C (0.5000, 0.0000, 0.5000)  2 Ta 2.19
Y (0.2974, 0.1195, 0.8946)  3 C 2.48-2.53
Y (0.1938, 0.0454, 0.6053)  3 C 2.48-2.54
C (0.3500, 0.8005, 0.0003)  2 Ta 2.15-2.16
Y (0.9546, 0.8062, 0.8947)  3 C 2.48-2.54